A relaxed structure of TiIn6Pd12. Source: Alexandria via LeMat-Bulk, functional PBE.

Cell: 7.416 7.416 7.416 Å, 106.48 106.48 106.48°
Element x y z (fractional)
Ti 0.000 0.000 0.000
In 0.789 0.906 0.524
In 0.476 0.211 0.094
In 0.094 0.476 0.211
In 0.211 0.094 0.476
In 0.524 0.789 0.906
In 0.906 0.524 0.789
Pd 0.820 0.521 0.401
Pd 0.401 0.820 0.521
Pd 0.521 0.401 0.820
Pd 0.180 0.479 0.599
Pd 0.599 0.180 0.479
Pd 0.479 0.599 0.180
Pd 0.866 0.736 0.149
Pd 0.264 0.851 0.134
Pd 0.851 0.134 0.264
Pd 0.134 0.264 0.851
Pd 0.736 0.149 0.866
Pd 0.149 0.866 0.736

SG = R-3
Total energy = -0.1826 hartree per atom
Size of the total moment = 0.00 μB/atom
Energy relative to the elements = -0.408 eV per atom

***

A relaxed structure of Ti2In5Pd12. Source: Alexandria via LeMat-Bulk, functional PBE.

Cell: 7.617 7.619 6.513 Å, 90.81 90.00 119.99°
Element x y z (fractional)
Ti 0.724 0.000 0.000
Ti 0.276 0.000 0.000
In 0.243 0.487 0.572
In 0.307 0.614 0.034
In 0.000 0.000 0.500
In 0.693 0.386 0.966
In 0.757 0.513 0.428
Pd 0.900 0.801 0.104
Pd 0.032 0.674 0.768
Pd 0.642 0.674 0.768
Pd 0.181 0.772 0.357
Pd 0.591 0.772 0.357
Pd 0.451 0.901 0.711
Pd 0.549 0.099 0.289
Pd 0.819 0.228 0.643
Pd 0.409 0.228 0.643
Pd 0.968 0.326 0.232
Pd 0.358 0.326 0.232
Pd 0.100 0.199 0.896

SG = C2/m
Total energy = -0.1943 hartree per atom
Size of the total moment = 0.00 μB/atom
Energy relative to the elements = -0.455 eV per atom

***

A relaxed structure of Ti4InPd. Source: Alexandria via LeMat-Bulk, functional PBE.

Cell: 3.124 3.124 10.711 Å, 90.00 90.00 90.00°
Element x y z (fractional)
Ti 0.500 0.500 0.186
Ti 0.000 0.000 0.654
Ti 0.000 0.000 0.346
Ti 0.500 0.500 0.814
In 0.000 0.000 0.000
Pd 0.500 0.500 0.500

SG = P4/mmm
Total energy = -0.2524 hartree per atom
Size of the total moment = 0.00 μB/atom
Energy relative to the elements = -0.283 eV per atom

***

A relaxed structure of TiIn2Pd4. Source: Alexandria via LeMat-Bulk, functional PBE.

Cell: 7.187 5.719 6.923 Å, 103.06 112.19 103.50°
Element x y z (fractional)
Ti 0.135 0.715 0.468
Ti 0.972 0.103 0.024
In 0.504 0.320 0.690
In 0.679 0.791 0.240
In 0.671 0.278 0.206
In 0.199 0.558 0.877
Pd 0.078 0.204 0.445
Pd 0.356 0.488 0.306
Pd 0.835 0.678 0.634
Pd 0.807 0.155 0.643
Pd 0.324 0.964 0.268
Pd 0.246 0.073 0.860
Pd 0.543 0.835 0.797
Pd 0.902 0.589 0.042

SG = P1
Total energy = -0.1969 hartree per atom
Size of the total moment = 0.00 μB/atom
Energy relative to the elements = -0.482 eV per atom